# YCrIr2, optimized geometry, DFT GGA-PBE
# V	137.59	Å³/cell
# DOS(E_F)	0.9813	states/eV per atom
# crystal system	tetragonal
# formation energy	-0.39	eV per formula unit
# total energy	-8.549	eV per atom
# energy relative to the lowest polymorph listed for this composition	190	meV per atom
data_YCrIr2
_chemical_formula_sum 'Y2 Cr2 Ir4'
_symmetry_space_group_name_H-M 'I -4 m 2'
_symmetry_Int_Tables_number 119
_symmetry_space_group_name_Hall 'I -4 -2'
_cell_length_a 4.017
_cell_length_b 4.017
_cell_length_c 8.525
_cell_angle_alpha 90.00
_cell_angle_beta 90.00
_cell_angle_gamma 90.00
loop_
_atom_site_label
_atom_site_fract_x
_atom_site_fract_y
_atom_site_fract_z
_atom_site_occupancy
Y1 0.000 0.000 0.000 1
Cr1 0.000 0.500 0.750 1
Ir1 0.000 0.000 0.500 1
Ir2 0.000 0.500 0.250 1

=====

# BaAg2SeS, optimized geometry, DFT GGA-PBE
# V	564.71	Å³/cell
# crystal system	tetragonal
# total energy	-3.877	eV per atom
# energy relative to the elements, uncorrected	-0.829	eV per atom
data_BaAg2SeS
_chemical_formula_sum 'Ba4 Ag8 Se4 S4'
_symmetry_space_group_name_H-M 'I 4 c m'
_symmetry_Int_Tables_number 108
_symmetry_space_group_name_Hall 'I 4 -2c'
_cell_length_a 6.514
_cell_length_b 6.514
_cell_length_c 13.311
_cell_angle_alpha 90.00
_cell_angle_beta 90.00
_cell_angle_gamma 90.00
loop_
_atom_site_label
_atom_site_fract_x
_atom_site_fract_y
_atom_site_fract_z
_atom_site_occupancy
Ba1 0.000 0.000 0.000 1
Ag1 0.167 0.333 0.210 1
Se1 0.000 0.500 0.039 1
S1 0.000 0.000 0.268 1

=====

# LiLaMg6, optimized geometry, DFT GGA-PBE
# V	405.81	Å³/cell
# DOS(E_F)	0.5802	states/eV per atom
# crystal system	orthorhombic
# formation energy	0.18	eV per formula unit
# total energy	-2.029	eV per atom
# energy relative to the lowest polymorph listed for this composition	74	meV per atom
data_LiLaMg6
_chemical_formula_sum 'Li2 La2 Mg12'
_symmetry_space_group_name_H-M 'A m m 2'
_symmetry_Int_Tables_number 38
_cell_length_a 5.136
_cell_length_b 6.335
_cell_length_c 12.472
_cell_angle_alpha 90.00
_cell_angle_beta 90.00
_cell_angle_gamma 90.00
loop_
_symmetry_equiv_pos_as_xyz
'x,y,z'
'-x,-y,z'
'-x,y,z'
'x,-y,z'
'x,y+1/2,z+1/2'
'-x,-y+1/2,z+1/2'
'-x,y+1/2,z+1/2'
'x,-y+1/2,z+1/2'
loop_
_atom_site_label
_atom_site_fract_x
_atom_site_fract_y
_atom_site_fract_z
_atom_site_occupancy
Li1 0.000 0.000 0.000 1
La1 0.000 0.000 0.550 1
Mg1 0.000 0.246 0.291 1
Mg2 0.500 0.000 0.159 1
Mg3 0.500 0.000 0.713 1
Mg4 0.500 0.248 0.431 1

=====

# K2ScPtN, optimized geometry, DFT GGA-PBE
# V	159.14	Å³/cell
# DOS(E_F)	1.0042	states/eV per atom
# crystal system	tetragonal
# total energy	-4.093	eV per atom
# energy relative to the elements, uncorrected	0.485	eV per atom
data_K2ScPtN
_chemical_formula_sum 'K2 Sc1 Pt1 N1'
_symmetry_space_group_name_H-M 'P 4/m m m'
_symmetry_Int_Tables_number 123
_symmetry_space_group_name_Hall '-P 4 2'
_cell_length_a 6.457
_cell_length_b 6.457
_cell_length_c 3.817
_cell_angle_alpha 90.00
_cell_angle_beta 90.00
_cell_angle_gamma 90.00
loop_
_atom_site_label
_atom_site_fract_x
_atom_site_fract_y
_atom_site_fract_z
_atom_site_occupancy
K1 0.000 0.500 0.000 1
Sc1 0.000 0.000 0.000 1
Pt1 0.500 0.500 0.500 1
N1 0.000 0.000 0.500 1

=====

# Tl12SeS5, optimized geometry, DFT GGA-PBE
# V	1186.81	Å³/cell
# DOS(E_F)	0.0420	states/eV per atom
# crystal system	monoclinic
# total energy	-3.263	eV per atom
# energy relative to the elements, uncorrected	-0.345	eV per atom
data_Tl12SeS5
_chemical_formula_sum 'Tl24 Se2 S10'
_symmetry_space_group_name_H-M 'C 1 2/m 1'
_symmetry_Int_Tables_number 12
_cell_length_a 7.352
_cell_length_b 12.792
_cell_length_c 12.839
_cell_angle_alpha 90.00
_cell_angle_beta 100.62
_cell_angle_gamma 90.00
loop_
_symmetry_equiv_pos_as_xyz
'x,y,z'
'-x,-y,-z'
'-x,y,-z'
'x,-y,z'
'x+1/2,y+1/2,z'
'-x+1/2,-y+1/2,-z'
'-x+1/2,y+1/2,-z'
'x+1/2,-y+1/2,z'
loop_
_atom_site_label
_atom_site_fract_x
_atom_site_fract_y
_atom_site_fract_z
_atom_site_occupancy
Tl1 0.123 0.000 0.368 1
Tl2 0.124 0.333 0.370 1
Tl3 0.199 0.500 0.134 1
Tl4 0.216 0.172 0.134 1
Se1 0.000 0.000 0.000 1
S1 0.000 0.166 0.500 1
S2 0.000 0.333 0.000 1
S3 0.000 0.500 0.500 1

=====

# NaPu2PaAs4, optimized geometry, DFT GGA-PBE
# V	184.10	Å³/cell
# DOS(E_F)	2.0451	states/eV per atom
# crystal system	monoclinic
# formation energy	-5.71	eV per formula unit
# total energy	-7.974	eV per atom
data_NaPu2PaAs4
_chemical_formula_sum 'Na1 Pu2 Pa1 As4'
_symmetry_space_group_name_H-M 'P 1 2/m 1'
_symmetry_Int_Tables_number 10
_cell_length_a 5.545
_cell_length_b 4.544
_cell_length_c 7.448
_cell_angle_alpha 90.00
_cell_angle_beta 101.15
_cell_angle_gamma 90.00
loop_
_symmetry_equiv_pos_as_xyz
'x,y,z'
'-x,-y,-z'
'-x,y,-z'
'x,-y,z'
loop_
_atom_site_label
_atom_site_fract_x
_atom_site_fract_y
_atom_site_fract_z
_atom_site_occupancy
Na1 0.000 0.000 0.000 1
Pu1 0.000 0.000 0.500 1
Pu2 0.500 0.500 0.000 1
Pa1 0.500 0.500 0.500 1
As1 0.033 0.500 0.742 1
As2 0.467 0.000 0.258 1

=====

# LiPaCdPb, optimized geometry, DFT GGA-PBE
# V	398.43	Å³/cell
# DOS(E_F)	1.1097	states/eV per atom
# crystal system	cubic
# formation energy	0.33	eV per formula unit
# total energy	-3.925	eV per atom
data_LiPaCdPb
_chemical_formula_sum 'Li4 Pa4 Cd4 Pb4'
_symmetry_space_group_name_H-M 'F -4 3 m'
_symmetry_Int_Tables_number 216
_symmetry_space_group_name_Hall 'F -4 2 3'
_cell_length_a 7.358
_cell_length_b 7.358
_cell_length_c 7.358
_cell_angle_alpha 90.00
_cell_angle_beta 90.00
_cell_angle_gamma 90.00
loop_
_atom_site_label
_atom_site_fract_x
_atom_site_fract_y
_atom_site_fract_z
_atom_site_occupancy
Li1 0.000 0.000 0.000 1
Pa1 0.000 0.000 0.500 1
Cd1 0.250 0.250 0.750 1
Pb1 0.250 0.250 0.250 1

=====

# Pr10Y6Er, optimized geometry, DFT GGA-PBE
# V	596.51	Å³/cell
# DOS(E_F)	1.5669	states/eV per atom
# crystal system	trigonal
# formation energy	2.17	eV per formula unit
# total energy	-5.234	eV per atom
data_Pr10Y6Er
_chemical_formula_sum 'Pr10 Y6 Er1'
_symmetry_space_group_name_H-M 'P -3 1 m'
_symmetry_Int_Tables_number 162
_symmetry_space_group_name_Hall '-P 3 2'
_cell_length_a 9.9373
_cell_length_b 9.9373
_cell_length_c 6.9750
_cell_angle_alpha 90.00
_cell_angle_beta 90.00
_cell_angle_gamma 120.00
loop_
_atom_site_label
_atom_site_fract_x
_atom_site_fract_y
_atom_site_fract_z
_atom_site_occupancy
Pr1 0.0000 0.2742 0.3186 1
Pr2 0.3333 0.6667 0.0000 1
Pr3 0.3333 0.6667 0.5000 1
Y1 0.0000 0.3660 0.8149 1
Er1 0.0000 0.0000 0.0000 1

=====

# Tm3Tl2Pt, optimized geometry, DFT GGA-PBE
# V	616.29	Å³/cell
# DOS(E_F)	0.6445	states/eV per atom
# crystal system	monoclinic
# formation energy	-3.19	eV per formula unit
# total energy	-4.563	eV per atom
data_Tm3Tl2Pt
_chemical_formula_sum 'Tm12 Tl8 Pt4'
_symmetry_space_group_name_H-M 'C 1 2/c 1'
_symmetry_Int_Tables_number 15
_cell_length_a 15.060
_cell_length_b 6.123
_cell_length_c 6.919
_cell_angle_alpha 90.00
_cell_angle_beta 104.99
_cell_angle_gamma 90.00
loop_
_symmetry_equiv_pos_as_xyz
'x,y,z'
'-x,-y,-z'
'-x,y,-z+1/2'
'x,-y,z+1/2'
'x+1/2,y+1/2,z'
'-x+1/2,-y+1/2,-z'
'-x+1/2,y+1/2,-z+1/2'
'x+1/2,-y+1/2,z+1/2'
loop_
_atom_site_label
_atom_site_fract_x
_atom_site_fract_y
_atom_site_fract_z
_atom_site_occupancy
Tm1 0.000 0.137 0.250 1
Tm2 0.144 0.436 0.592 1
Tl1 0.172 0.072 0.044 1
Pt1 0.000 0.375 0.750 1

=====

# Sc2CrRh, optimized geometry, DFT GGA-PBE
# V	309.23	Å³/cell
# DOS(E_F)	1.0198	states/eV per atom
# crystal system	tetragonal
# formation energy	0.20	eV per formula unit
# total energy	-7.360	eV per atom
# energy relative to the lowest polymorph listed for this composition	427	meV per atom
data_Sc2CrRh
_chemical_formula_sum 'Sc8 Cr4 Rh4'
_symmetry_space_group_name_H-M 'I -4 2 d'
_symmetry_Int_Tables_number 122
_symmetry_space_group_name_Hall 'I -4 2bw'
_cell_length_a 7.265
_cell_length_b 7.265
_cell_length_c 5.859
_cell_angle_alpha 90.00
_cell_angle_beta 90.00
_cell_angle_gamma 90.00
loop_
_atom_site_label
_atom_site_fract_x
_atom_site_fract_y
_atom_site_fract_z
_atom_site_occupancy
Sc1 0.220 0.250 0.125 1
Cr1 0.000 0.000 0.500 1
Rh1 0.000 0.000 0.000 1

=====

# La2AgOs, optimized geometry, DFT GGA-PBE
# V	419.44	Å³/cell
# DOS(E_F)	1.0435	states/eV per atom
# crystal system	tetragonal
# formation energy	0.53	eV per formula unit
# total energy	-5.852	eV per atom
data_La2AgOs
_chemical_formula_sum 'La8 Ag4 Os4'
_symmetry_space_group_name_H-M 'I -4 2 d'
_symmetry_Int_Tables_number 122
_symmetry_space_group_name_Hall 'I -4 2bw'
_cell_length_a 8.087
_cell_length_b 8.087
_cell_length_c 6.414
_cell_angle_alpha 90.00
_cell_angle_beta 90.00
_cell_angle_gamma 90.00
loop_
_atom_site_label
_atom_site_fract_x
_atom_site_fract_y
_atom_site_fract_z
_atom_site_occupancy
La1 0.209 0.250 0.125 1
Ag1 0.000 0.000 0.500 1
Os1 0.000 0.000 0.000 1

=====

# Cs2BTe, optimized geometry, DFT GGA-PBE
# V	695.29	Å³/cell
# DOS(E_F)	1.1072	states/eV per atom
# crystal system	cubic
# total energy	-2.283	eV per atom
# energy relative to the elements, uncorrected	0.598	eV per atom
# energy relative to the lowest polymorph listed for this composition	0	meV per atom
data_Cs2BTe
_chemical_formula_sum 'Cs8 B4 Te4'
_symmetry_space_group_name_H-M 'F m -3 m'
_symmetry_Int_Tables_number 225
_symmetry_space_group_name_Hall '-F 4 2 3'
_cell_length_a 8.859
_cell_length_b 8.859
_cell_length_c 8.859
_cell_angle_alpha 90.00
_cell_angle_beta 90.00
_cell_angle_gamma 90.00
loop_
_atom_site_label
_atom_site_fract_x
_atom_site_fract_y
_atom_site_fract_z
_atom_site_occupancy
Cs1 0.250 0.250 0.250 1
B1 0.000 0.000 0.000 1
Te1 0.000 0.000 0.500 1

=====

What did the twelfth record say?
# Cs2BTe, optimized geometry, DFT GGA-PBE
# V	695.29	Å³/cell
# DOS(E_F)	1.1072	states/eV per atom
# crystal system	cubic
# total energy	-2.283	eV per atom
# energy relative to the elements, uncorrected	0.598	eV per atom
# energy relative to the lowest polymorph listed for this composition	0	meV per atom
data_Cs2BTe
_chemical_formula_sum 'Cs8 B4 Te4'
_symmetry_space_group_name_H-M 'F m -3 m'
_symmetry_Int_Tables_number 225
_symmetry_space_group_name_Hall '-F 4 2 3'
_cell_length_a 8.859
_cell_length_b 8.859
_cell_length_c 8.859
_cell_angle_alpha 90.00
_cell_angle_beta 90.00
_cell_angle_gamma 90.00
loop_
_atom_site_label
_atom_site_fract_x
_atom_site_fract_y
_atom_site_fract_z
_atom_site_occupancy
Cs1 0.250 0.250 0.250 1
B1 0.000 0.000 0.000 1
Te1 0.000 0.000 0.500 1